Record 1
The following is a DFT calculation (PBE-GGA) of a geometry-optimized Li2CeSnPd4 structure.

Lattice parameters (Å, degrees): 4.5952 4.5952 8.0936 73.51 73.51 60.00
Last column: magnetic moment on the atom in μB.
Fractional positions:
Pd  0.1244  0.1244  0.6267  -0.01
Pd  0.3838  0.3838  0.8487  0.01
Pd  0.8756  0.8756  0.3733  -0.01
Pd  0.6162  0.6162  0.1513  0.01
Sn  0.5000  0.5000  0.5000  0.00
Li  0.7576  0.7576  0.7273  0.00
Li  0.2424  0.2424  0.2727  0.00
Ce  0.0000  0.0000  0.0000  0.50

Computed properties:
As for the formation energy: -0.593 eV per atom. For the total magnetic moment, the calculation gives 0.0744 μB per atom. Its total energy is -39.3 eV for the cell shown. The density of states at the Fermi level is 6.58 states/eV/f.u. The theoretical density is 8.3 g/cm³.

---

Record 2
The following is a DFT calculation (PBE-GGA) of a geometry-optimized GaBiSbI2 structure.

Lattice parameters (Å, degrees): 6.2599 6.2599 5.9068 90.00 90.00 90.00
Last column: magnetic moment on the atom in μB.
Fractional positions:
I  0.5000  0.0000  0.0000  0.03
I  0.0000  0.5000  0.0000  0.03
Ga  0.5000  0.5000  0.5000  0.00
Sb  0.0000  0.0000  0.5000  0.26
Bi  0.0000  0.0000  0.0000  -0.05

Computed properties:
For the total magnetic moment, the calculation gives 0.1451 μB per atom. Its total energy is -12.7 eV for the cell shown. For the uncorrected formation energy, the calculation gives 0.281 eV/atom. The density of states at the Fermi level is 3.63 states/eV/f.u. The theoretical density is 4.7 g/cm³.

---

Record 3
The following is a DFT calculation (PBE-GGA) of a geometry-optimized PrNd5Dy2Ho structure.

Lattice parameters (Å, degrees): 5.6862 10.6214 10.7957 90.00 90.00 105.53
Fractional positions:
Ho  0.4102  0.8204  0.4583
Ho  0.5898  0.1796  0.9583
Pr  0.2022  0.4045  0.0088
Pr  0.7978  0.5955  0.5088
Nd  0.2966  0.5932  0.7033
Nd  0.7034  0.4068  0.2033
Nd  0.0164  0.0328  0.0223
Nd  0.9836  0.9672  0.5223
Nd  0.5203  0.0406  0.2427
Nd  0.6079  0.2157  0.5253
Nd  0.7187  0.4373  0.8081
Nd  0.2813  0.5627  0.3081
Nd  0.4797  0.9594  0.7427
Nd  0.3921  0.7843  0.0253
Dy  0.1165  0.2330  0.3175
Dy  0.1102  0.2204  0.7376
Dy  0.8835  0.7670  0.8175
Dy  0.8898  0.7796  0.2376

Computed properties:
As for the formation energy: 0.143 eV per atom. For the total magnetic moment, the calculation gives 0.0000 μB per atom. Its total energy is -82.2 eV for the cell shown. The density of states at the Fermi level is 13.97 states/eV/f.u. The theoretical density is 7.1 g/cm³.

---

Record 4
The following is a DFT calculation (PBE-GGA) of a geometry-optimized Ac5Mg4Tl structure.

Lattice parameters (Å, degrees): 4.1210 4.1210 20.6106 90.00 90.00 90.00
Fractional positions:
Mg  0.0000  0.0000  0.2030
Mg  0.0000  0.0000  0.7970
Mg  0.0000  0.0000  0.4003
Mg  0.0000  0.0000  0.5997
Ac  0.5000  0.5000  0.3007
Ac  0.5000  0.5000  0.1012
Ac  0.5000  0.5000  0.8988
Ac  0.5000  0.5000  0.5000
Ac  0.5000  0.5000  0.6993
Tl  0.0000  0.0000  0.0000

Computed properties:
As for the formation energy: -0.130 eV per atom. For the total magnetic moment, the calculation gives 0.0000 μB per atom. Its total energy is -30.6 eV for the cell shown. The density of states at the Fermi level is 13.10 states/eV/f.u. The theoretical density is 6.8 g/cm³.

---

Record 5
The following is a DFT calculation (PBE-GGA) of a geometry-optimized CaYRe2 structure.

Lattice parameters (Å, degrees): 3.4625 4.6200 4.8601 90.00 90.00 90.00
Fractional positions:
Ca  0.0000  0.5000  0.5000
Re  0.0000  0.0000  0.0000
Re  0.5000  0.5000  0.0000
Y  0.5000  0.0000  0.5000

Computed properties:
As for the formation energy: 0.735 eV per atom. For the total magnetic moment, the calculation gives 0.0000 μB per atom. Its total energy is -30.4 eV for the cell shown. The density of states at the Fermi level is 4.93 states/eV/f.u. The theoretical density is 10.7 g/cm³.

---

Record 6
The following is a DFT calculation (PBE-GGA) of a geometry-optimized BaZrAl2 structure.

Lattice parameters (Å, degrees): 7.8043 5.6811 3.1468 89.97 66.25 125.13
Fractional positions:
Al  0.5000  0.0000  0.5000
Al  0.0000  0.0000  0.0000
Zr  0.5000  0.5000  0.0000
Ba  0.0000  0.5000  0.5000

Computed properties:
As for the formation energy: 0.127 eV per atom. For the total magnetic moment, the calculation gives 0.0000 μB per atom. Its total energy is -17.4 eV for the cell shown. The density of states at the Fermi level is 2.61 states/eV/f.u. The theoretical density is 4.7 g/cm³.

---

Record 7
The following is a DFT calculation (PBE-GGA) of a geometry-optimized Zr2CrHIr structure.

Lattice parameters (Å, degrees): 4.8909 4.3212 4.8909 90.00 90.00 90.00
Fractional positions:
Ir  0.0000  0.5000  0.0000
Cr  0.0000  0.0000  0.0000
Zr  0.5000  0.0000  0.0000
Zr  0.0000  0.0000  0.5000
H  0.5000  0.5000  0.5000

Computed properties:
For the total magnetic moment, the calculation gives 0.0000 μB per atom. Its total energy is -34.0 eV for the cell shown. The density of states at the Fermi level is 4.99 states/eV/f.u. The theoretical density is 6.9 g/cm³.

---

Record 8
The following is a DFT calculation (PBE-GGA) of a geometry-optimized AlAg2Rh structure.

Lattice parameters (Å, degrees): 2.8064 2.8064 9.3547 90.00 90.00 117.35
Last column: magnetic moment on the atom in μB.
Fractional positions:
Al  0.5000  0.5000  0.2500  0.00
Ag  0.0000  0.0000  0.4946  0.00
Ag  0.0000  0.0000  0.0054  0.00
Rh  0.5000  0.5000  0.7500  0.46

Computed properties:
As for the formation energy: 0.153 eV per atom. For the total magnetic moment, the calculation gives 0.1234 μB per atom. Its total energy is -16.2 eV for the cell shown. The density of states at the Fermi level is 3.77 states/eV/f.u. The theoretical density is 8.8 g/cm³.

---

Record 9
The following is a DFT calculation (PBE-GGA) of a geometry-optimized RbPS3 structure.

Lattice parameters (Å, degrees): 5.8089 5.8089 5.8089 90.00 90.00 90.00
Last column: magnetic moment on the atom in μB.
Fractional positions:
S  0.0000  0.0000  0.5000  0.97
S  0.5000  0.0000  0.0000  0.67
S  0.0000  0.5000  0.0000  0.82
Rb  0.0000  0.0000  0.0000  0.09
P  0.5000  0.5000  0.5000  0.11

Computed properties:
For the total magnetic moment, the calculation gives 0.8679 μB per atom. Its total energy is -9.3 eV for the cell shown. For the uncorrected formation energy, the calculation gives 1.893 eV/atom. The density of states at the Fermi level is 11.22 states/eV/f.u. The theoretical density is 1.8 g/cm³.

---

Record 10
The following is a DFT calculation (PBE-GGA) of a geometry-optimized NbTe2SeN structure.

Lattice parameters (Å, degrees): 5.5400 5.5400 3.6580 90.00 90.00 90.00
Last column: magnetic moment on the atom in μB.
Fractional positions:
Te  0.5000  0.0000  0.0000  -0.13
Te  0.0000  0.5000  0.0000  -0.13
Se  0.0000  0.0000  0.0000  0.02
Nb  0.5000  0.5000  0.5000  2.04
N  0.0000  0.0000  0.5000  -0.12

Computed properties:
For the total magnetic moment, the calculation gives 0.4124 μB per atom. Its total energy is -22.7 eV for the cell shown. For the uncorrected formation energy, the calculation gives 1.084 eV/atom. The density of states at the Fermi level is 3.44 states/eV/f.u. The theoretical density is 6.5 g/cm³.

---

Record 11
The following is a DFT calculation (PBE-GGA) of a geometry-optimized LiDy2In2 structure.

Lattice parameters (Å, degrees): 6.1122 6.3078 7.8985 113.53 112.76 90.00
Fractional positions:
Dy  0.3198  0.1107  0.6396
Dy  0.8198  0.5290  0.6396
Dy  0.6802  0.8893  0.3604
Dy  0.1802  0.4710  0.3604
Li  0.7500  0.5000  0.0000
Li  0.2500  0.5000  0.0000
In  0.0794  0.9032  0.1587
In  0.9206  0.0968  0.8413
In  0.4206  0.7444  0.8413
In  0.5794  0.2556  0.1587

Computed properties:
As for the formation energy: -0.207 eV per atom. For the total magnetic moment, the calculation gives 0.0000 μB per atom. Its total energy is -35.3 eV for the cell shown. The density of states at the Fermi level is 5.96 states/eV/f.u. The theoretical density is 7.4 g/cm³.

---

Record 12
The following is a DFT calculation (PBE-GGA) of a geometry-optimized Zn2AgCl structure.

Lattice parameters (Å, degrees): 6.3236 6.3236 6.3236 145.22 145.22 50.01
Fractional positions:
Zn  0.0000  0.0000  0.0000
Zn  0.5000  0.5000  0.0000
Ag  0.2500  0.7500  0.5000
Cl  0.7500  0.2500  0.5000

Computed properties:
For the total magnetic moment, the calculation gives 0.0000 μB per atom. Its total energy is -7.1 eV for the cell shown. For the uncorrected formation energy, the calculation gives 0.034 eV/atom. The density of states at the Fermi level is 0.80 states/eV/f.u. The theoretical density is 5.6 g/cm³.